No. 1
Crystalline GeB4Os at its relaxed geometry, computed with PBE.

abc: 3.0546 3.0546 7.0300
angles: 90.00 90.00 120.00
Fractional positions:
B  0.6667  0.3333  0.2360
B  0.3333  0.6667  0.2360
B  0.6667  0.3333  0.7640
B  0.3333  0.6667  0.7640
Ge  0.0000  0.0000  0.5000
Os  0.0000  0.0000  0.0000



No. 2
Crystalline GeBOs at its relaxed geometry, computed with PBE.

abc: 3.7762 3.7762 3.7762
angles: 60.00 60.00 60.00
Fractional positions:
B  0.0000  0.0000  0.0000
Ge  0.2500  0.2500  0.2500
Os  0.7500  0.7500  0.7500



No. 3
Crystalline PaGeB at its relaxed geometry, computed with PBE.

abc: 4.4682 4.4682 4.4682
angles: 60.00 60.00 60.00
Fractional positions:
B  0.5000  0.5000  0.5000
Ge  0.0000  0.0000  0.0000
Pa  0.2500  0.2500  0.2500



| no. | magnetic moment (μB per formula unit) | uncorrected energy (eV/cell) |
| --- | --- | --- |
| 1 | 0.003 | -39.4 |
| 2 | 0.000 | -20.7 |
| 3 | 0.002 | -18.8 |